Entry 1:
Computed, not measured: an optimized crystal structure of TaCrTc2 at the PBE level of DFT.

POSCAR file:
```
TaCrTc2
1.0
1.560 -2.235 0.000
1.560 2.235 0.000
0.000 0.000 8.510
Ta Cr Tc
1 1 2
Cartesian
0.000 0.000 0.000
0.000 0.000 4.255
1.560 0.000 2.266
1.560 0.000 6.245
```

Values from the calculation:
The calculation puts the formation enthalpy at 0 K at 0.03 eV/atom.



Entry 2:
Computed, not measured: an optimized crystal structure of Ta4CrTc2 at the PBE level of DFT.

POSCAR file:
```
Ta4CrTc2
1.0
-3.121 3.121 3.130
3.121 -3.121 3.130
3.121 3.121 -3.130
Ta Cr Tc
4 1 2
Cartesian
1.560 1.560 -1.565
1.560 -1.560 1.565
-1.560 1.560 1.565
1.560 1.560 1.565
0.000 0.000 0.000
3.121 0.000 0.000
0.000 3.121 0.000
```

Values from the calculation:
The calculation puts the formation enthalpy at 0 K at 0.00 eV/atom.



Question: Which formula does entry 1 have?
Answer: TaCrTc2